(1)
Cu4Ni2Pt5 after structural relaxation, computed with PBE.

formation energy from the elements: -0.0497 eV/atom
D(E_F): 29.56 states/eV/cell
mass density: 15.025 g cm⁻³

The structure in CIF format:
```
data_Cu4Ni2Pt5
_chemical_formula_sum 'Cu8 Ni4 Pt10'
_cell_length_a 4.7533
_cell_length_b 14.4168
_cell_length_c 4.3447
_cell_angle_alpha 90.00
_cell_angle_beta 90.00
_cell_angle_gamma 90.00
_symmetry_space_group_name_H-M 'P b a m'
_symmetry_Int_Tables_number 55
loop_
_symmetry_equiv_pos_as_xyz
'x,y,z'
'-x,-y,-z'
'-x,-y,z'
'x,y,-z'
'x+1/2,-y+1/2,-z'
'-x+1/2,y+1/2,z'
'-x+1/2,y+1/2,-z'
'x+1/2,-y+1/2,z'
loop_
_atom_site_label
_atom_site_type_symbol
_atom_site_fract_x
_atom_site_fract_y
_atom_site_fract_z
_atom_site_occupancy
Cu1 Cu 0.1858 0.1224 0.0000 1
Cu2 Cu 0.2250 0.4577 0.0000 1
Ni1 Ni 0.1577 0.2902 0.0000 1
Pt1 Pt 0.0000 0.0000 0.5000 1
Pt2 Pt 0.0087 0.6015 0.5000 1
Pt3 Pt 0.0174 0.7988 0.5000 1
```


(2)
Cu3Ni4Pt after structural relaxation, computed with PBE.

formation energy from the elements: 0.1841 eV/atom
D(E_F): 21.41 states/eV/cell
mass density: 10.388 g cm⁻³

The structure in CIF format:
```
data_Cu3Ni4Pt
_chemical_formula_sum 'Cu6 Ni8 Pt2'
_cell_length_a 4.9150
_cell_length_b 8.4735
_cell_length_c 4.7634
_cell_angle_alpha 90.00
_cell_angle_beta 90.00
_cell_angle_gamma 90.00
_symmetry_space_group_name_H-M 'I m m 2'
_symmetry_Int_Tables_number 44
loop_
_symmetry_equiv_pos_as_xyz
'x,y,z'
'-x,-y,z'
'-x,y,z'
'x,-y,z'
'x+1/2,y+1/2,z+1/2'
'-x+1/2,-y+1/2,z+1/2'
'-x+1/2,y+1/2,z+1/2'
'x+1/2,-y+1/2,z+1/2'
loop_
_atom_site_label
_atom_site_type_symbol
_atom_site_fract_x
_atom_site_fract_y
_atom_site_fract_z
_atom_site_occupancy
Cu1 Cu 0.0000 0.0000 0.0000 1
Cu2 Cu 0.0000 0.2421 0.7468 1
Ni1 Ni 0.0000 0.2434 0.2457 1
Ni2 Ni 0.2503 0.0000 0.4912 1
Pt1 Pt 0.0000 0.5000 0.4886 1
```


(3)
CuNiPt2 after structural relaxation, computed with PBE.

formation energy from the elements: -0.0200 eV/atom
D(E_F): 4.30 states/eV/cell
mass density: 15.149 g cm⁻³

The structure in CIF format:
```
data_CuNiPt2
_chemical_formula_sum 'Cu1 Ni1 Pt2'
_cell_length_a 2.6871
_cell_length_b 4.4221
_cell_length_c 4.7283
_cell_angle_alpha 90.00
_cell_angle_beta 91.47
_cell_angle_gamma 90.00
_symmetry_space_group_name_H-M 'P 1 2/m 1'
_symmetry_Int_Tables_number 10
loop_
_symmetry_equiv_pos_as_xyz
'x,y,z'
'-x,-y,-z'
'-x,y,-z'
'x,-y,z'
loop_
_atom_site_label
_atom_site_type_symbol
_atom_site_fract_x
_atom_site_fract_y
_atom_site_fract_z
_atom_site_occupancy
Cu1 Cu 0.0000 0.0000 0.0000 1
Ni1 Ni 0.5000 0.0000 0.5000 1
Pt1 Pt 0.2535 0.5000 0.7483 1
```


(4)
CuNi2Pt after structural relaxation, computed with PBE.

formation energy from the elements: 0.0213 eV/atom
D(E_F): 21.73 states/eV/cell
mass density: 12.427 g cm⁻³

The structure in CIF format:
```
data_CuNi2Pt
_chemical_formula_sum 'Cu4 Ni8 Pt4'
_cell_length_a 5.8576
_cell_length_b 5.8576
_cell_length_c 5.8576
_cell_angle_alpha 90.00
_cell_angle_beta 90.00
_cell_angle_gamma 90.00
_symmetry_space_group_name_H-M 'F -4 3 m'
_symmetry_Int_Tables_number 216
_symmetry_space_group_name_Hall 'F -4 2 3'
loop_
_atom_site_label
_atom_site_type_symbol
_atom_site_fract_x
_atom_site_fract_y
_atom_site_fract_z
_atom_site_occupancy
Cu1 Cu 0.0000 0.0000 0.0000 1
Ni1 Ni 0.0000 0.0000 0.5000 1
Ni2 Ni 0.2500 0.2500 0.7500 1
Pt1 Pt 0.2500 0.2500 0.2500 1
```


(5)
Cu2NiPt2 after structural relaxation, computed with PBE.

formation energy from the elements: 0.1733 eV/atom
D(E_F): 13.76 states/eV/cell
energy relative to the lowest polymorph listed for this composition: 25.7 kJ per mole of atoms
mass density: 13.241 g cm⁻³

The structure in CIF format:
```
data_Cu2NiPt2
_chemical_formula_sum 'Cu4 Ni2 Pt4'
_cell_length_a 7.0660
_cell_length_b 7.0660
_cell_length_c 2.8933
_cell_angle_alpha 90.00
_cell_angle_beta 90.00
_cell_angle_gamma 90.00
_symmetry_space_group_name_H-M 'P 4/m b m'
_symmetry_Int_Tables_number 127
_symmetry_space_group_name_Hall '-P 4 2ab'
loop_
_atom_site_label
_atom_site_type_symbol
_atom_site_fract_x
_atom_site_fract_y
_atom_site_fract_z
_atom_site_occupancy
Cu1 Cu 0.1587 0.3413 0.0000 1
Ni1 Ni 0.0000 0.0000 0.5000 1
Pt1 Pt 0.1407 0.6407 0.5000 1
```


(6)
CuNiPt2 after structural relaxation, computed with PBE.

formation energy from the elements: 0.0382 eV/atom
D(E_F): 8.83 states/eV/cell
mass density: 15.094 g cm⁻³

The structure in CIF format:
```
data_CuNiPt2
_chemical_formula_sum 'Cu2 Ni2 Pt4'
_cell_length_a 2.7152
_cell_length_b 4.6076
_cell_length_c 9.0118
_cell_angle_alpha 90.00
_cell_angle_beta 90.00
_cell_angle_gamma 90.00
_symmetry_space_group_name_H-M 'C m m 2'
_symmetry_Int_Tables_number 35
loop_
_symmetry_equiv_pos_as_xyz
'x,y,z'
'-x,-y,z'
'-x,y,z'
'x,-y,z'
'x+1/2,y+1/2,z'
'-x+1/2,-y+1/2,z'
'-x+1/2,y+1/2,z'
'x+1/2,-y+1/2,z'
loop_
_atom_site_label
_atom_site_type_symbol
_atom_site_fract_x
_atom_site_fract_y
_atom_site_fract_z
_atom_site_occupancy
Cu1 Cu 0.0000 0.0000 0.0000 1
Ni1 Ni 0.0000 0.5000 0.7749 1
Pt1 Pt 0.0000 0.0000 0.5316 1
Pt2 Pt 0.0000 0.5000 0.2486 1
```


(7)
CuNiPt after structural relaxation, computed with PBE.

formation energy from the elements: -0.0806 eV/atom
D(E_F): 5.24 states/eV/cell
energy relative to the lowest polymorph listed for this composition: 0.0 kJ per mole of atoms
mass density: 13.550 g cm⁻³

The structure in CIF format:
```
data_CuNiPt
_chemical_formula_sum 'Cu2 Ni2 Pt2'
_cell_length_a 2.7014
_cell_length_b 2.7014
_cell_length_c 10.6574
_cell_angle_alpha 90.00
_cell_angle_beta 90.00
_cell_angle_gamma 90.00
_symmetry_space_group_name_H-M 'P 4/n m m'
_symmetry_Int_Tables_number 129
loop_
_symmetry_equiv_pos_as_xyz
'x,y,z'
'-x,-y,-z'
'-y+1/2,x,z'
'y+1/2,-x,-z'
'-x+1/2,-y+1/2,z'
'x+1/2,y+1/2,-z'
'y,-x+1/2,z'
'-y,x+1/2,-z'
'x+1/2,-y,-z'
'-x+1/2,y,z'
'-y,-x,-z'
'y,x,z'
'-x,y+1/2,-z'
'x,-y+1/2,z'
'y+1/2,x+1/2,-z'
'-y+1/2,-x+1/2,z'
loop_
_atom_site_label
_atom_site_type_symbol
_atom_site_fract_x
_atom_site_fract_y
_atom_site_fract_z
_atom_site_occupancy
Cu1 Cu 0.2500 0.2500 0.0792 1
Ni1 Ni 0.2500 0.2500 0.4265 1
Pt1 Pt 0.2500 0.2500 0.7444 1
```


(8)
CuNi4Pt5 after structural relaxation, computed with PBE.

formation energy from the elements: -0.1135 eV/atom
D(E_F): 14.24 states/eV/cell
mass density: 15.611 g cm⁻³

The structure in CIF format:
```
data_CuNi4Pt5
_chemical_formula_sum 'Cu1 Ni4 Pt5'
_cell_length_a 2.7204
_cell_length_b 2.7204
_cell_length_c 18.3078
_cell_angle_alpha 90.00
_cell_angle_beta 90.00
_cell_angle_gamma 90.00
_symmetry_space_group_name_H-M 'P 4/m m m'
_symmetry_Int_Tables_number 123
_symmetry_space_group_name_Hall '-P 4 2'
loop_
_atom_site_label
_atom_site_type_symbol
_atom_site_fract_x
_atom_site_fract_y
_atom_site_fract_z
_atom_site_occupancy
Cu1 Cu 0.0000 0.0000 0.0000 1
Ni1 Ni 0.0000 0.0000 0.2018 1
Ni2 Ni 0.0000 0.0000 0.4004 1
Pt1 Pt 0.5000 0.5000 0.1030 1
Pt2 Pt 0.5000 0.5000 0.3010 1
Pt3 Pt 0.5000 0.5000 0.5000 1
```


(9)
CuNi5Pt3 after structural relaxation, computed with PBE.

formation energy from the elements: 0.3644 eV/atom
D(E_F): 67.20 states/eV/cell
mass density: 12.211 g cm⁻³

The structure in CIF format:
```
data_CuNi5Pt3
_chemical_formula_sum 'Cu4 Ni20 Pt12'
_cell_length_a 6.2835
_cell_length_b 6.2835
_cell_length_c 12.9817
_cell_angle_alpha 90.00
_cell_angle_beta 90.00
_cell_angle_gamma 90.00
_symmetry_space_group_name_H-M 'I 4/m c m'
_symmetry_Int_Tables_number 140
_symmetry_space_group_name_Hall '-I 4 2c'
loop_
_atom_site_label
_atom_site_type_symbol
_atom_site_fract_x
_atom_site_fract_y
_atom_site_fract_z
_atom_site_occupancy
Cu1 Cu 0.0000 0.5000 0.2500 1
Ni1 Ni 0.0000 0.0000 0.0000 1
Ni2 Ni 0.2256 0.2744 0.1548 1
Pt1 Pt 0.0000 0.0000 0.2500 1
Pt2 Pt 0.1355 0.3645 0.5000 1
```


(10)
CuNiPt2 after structural relaxation, computed with PBE.

formation energy from the elements: -0.0150 eV/atom
D(E_F): 9.61 states/eV/cell
mass density: 15.203 g cm⁻³

The structure in CIF format:
```
data_CuNiPt2
_chemical_formula_sum 'Cu2 Ni2 Pt4'
_cell_length_a 5.3818
_cell_length_b 8.8200
_cell_length_c 2.6802
_cell_angle_alpha 90.00
_cell_angle_beta 118.38
_cell_angle_gamma 90.00
_symmetry_space_group_name_H-M 'C 1 2/m 1'
_symmetry_Int_Tables_number 12
loop_
_symmetry_equiv_pos_as_xyz
'x,y,z'
'-x,-y,-z'
'-x,y,-z'
'x,-y,z'
'x+1/2,y+1/2,z'
'-x+1/2,-y+1/2,-z'
'-x+1/2,y+1/2,-z'
'x+1/2,-y+1/2,z'
loop_
_atom_site_label
_atom_site_type_symbol
_atom_site_fract_x
_atom_site_fract_y
_atom_site_fract_z
_atom_site_occupancy
Cu1 Cu 0.0000 0.0000 0.0000 1
Ni1 Ni 0.0000 0.5000 0.0000 1
Pt1 Pt 0.2500 0.2500 0.5000 1
```


(11)
Cu2NiPt after structural relaxation, computed with PBE.

formation energy from the elements: -0.1023 eV/atom
D(E_F): 6.79 states/eV/cell
mass density: 12.449 g cm⁻³

The structure in CIF format:
```
data_Cu2NiPt
_chemical_formula_sum 'Cu4 Ni2 Pt2'
_cell_length_a 8.6698
_cell_length_b 2.6787
_cell_length_c 4.4620
_cell_angle_alpha 90.00
_cell_angle_beta 101.33
_cell_angle_gamma 90.00
_symmetry_space_group_name_H-M 'C 1 2/m 1'
_symmetry_Int_Tables_number 12
loop_
_symmetry_equiv_pos_as_xyz
'x,y,z'
'-x,-y,-z'
'-x,y,-z'
'x,-y,z'
'x+1/2,y+1/2,z'
'-x+1/2,-y+1/2,-z'
'-x+1/2,y+1/2,-z'
'x+1/2,-y+1/2,z'
loop_
_atom_site_label
_atom_site_type_symbol
_atom_site_fract_x
_atom_site_fract_y
_atom_site_fract_z
_atom_site_occupancy
Cu1 Cu 0.2465 0.0000 0.2403 1
Ni1 Ni 0.0000 0.5000 0.0000 1
Pt1 Pt 0.0000 0.0000 0.5000 1
```


(12)
CuNiPt after structural relaxation, computed with PBE.

formation energy from the elements: -0.0499 eV/atom
D(E_F): 8.53 states/eV/cell
energy relative to the lowest polymorph listed for this composition: 3.0 kJ per mole of atoms
mass density: 13.556 g cm⁻³

The structure in CIF format:
```
data_CuNiPt
_chemical_formula_sum 'Cu2 Ni2 Pt2'
_cell_length_a 2.7151
_cell_length_b 2.7151
_cell_length_c 10.5465
_cell_angle_alpha 90.00
_cell_angle_beta 90.00
_cell_angle_gamma 90.00
_symmetry_space_group_name_H-M 'I 4 m m'
_symmetry_Int_Tables_number 107
_symmetry_space_group_name_Hall 'I 4 -2'
loop_
_atom_site_label
_atom_site_type_symbol
_atom_site_fract_x
_atom_site_fract_y
_atom_site_fract_z
_atom_site_occupancy
Cu1 Cu 0.0000 0.0000 0.0000 1
Ni1 Ni 0.0000 0.0000 0.6547 1
Pt1 Pt 0.0000 0.0000 0.3235 1
```